Record 1
The following is a PBE calculation of crystalline ZrRuSe2 at its relaxed geometry, from the Alexandria database.

magnetic moment: 0.000 μB per atom
excess energy over the best structure of this formula in the dataset: 498 meV per atom
space-group type: C2/m (12)

Unit cell a=5.0651 b=5.0651 c=4.2815 alpha=70.08 beta=70.08 gamma=114.85
Fractional positions:
1 Se 0.0000 0.0000 0.0000
2 Se 0.5000 0.5000 0.0000
3 Ru 0.0000 0.5000 0.5000
4 Zr 0.5000 0.0000 0.5000



Record 2
The following is a PBE calculation of crystalline Ba6SbAs2P at its relaxed geometry, from the Alexandria database.

magnetic moment: 0.000 μB per atom
space-group type: P2_1/c (14)

Unit cell a=8.3548 b=8.8370 c=11.9318 alpha=90.00 beta=87.73 gamma=90.00
Fractional positions:
1 Ba 0.1523 0.3990 0.7622
2 Ba 0.8179 0.7971 0.8912
3 Ba 0.6821 0.2971 0.6088
4 Ba 0.1821 0.2029 0.1088
5 Ba 0.3477 0.8990 0.7378
6 Ba 0.3238 0.6622 0.0433
7 Ba 0.1762 0.1622 0.4567
8 Ba 0.6762 0.3378 0.9567
9 Ba 0.6523 0.1010 0.2622
10 Ba 0.8477 0.6010 0.2378
11 Ba 0.3179 0.7029 0.3912
12 Ba 0.8238 0.8378 0.5433
13 P 0.5000 0.0000 0.5000
14 P 0.0000 0.5000 0.0000
15 As 0.9845 0.0632 0.7223
16 As 0.0155 0.9368 0.2777
17 As 0.4845 0.4368 0.2223
18 As 0.5155 0.5632 0.7777
19 Sb 0.0000 0.5000 0.5000
20 Sb 0.5000 0.0000 0.0000



Record 3
The following is a PBE calculation of crystalline Dy2Ho5Rh4 at its relaxed geometry, from the Alexandria database.

formation enthalpy at 0 K: -0.50 eV/atom
magnetic moment: 0.000 μB per atom
space-group type: C2/m (12)

Unit cell a=3.5448 b=6.9328 c=12.7671 alpha=115.60 beta=97.98 gamma=90.00
Fractional positions:
1 Ho 0.0975 0.7925 0.1951
2 Ho 0.8698 0.6341 0.7396
3 Ho 0.5000 0.0000 0.0000
4 Ho 0.1302 0.3659 0.2604
5 Ho 0.9025 0.2075 0.8049
6 Dy 0.2709 0.8154 0.5418
7 Dy 0.7291 0.1846 0.4582
8 Rh 0.0221 0.3384 0.0441
9 Rh 0.9779 0.6616 0.9559
10 Rh 0.6771 0.7234 0.3543
11 Rh 0.3229 0.2766 0.6457



Record 4
The following is a PBE calculation of crystalline PmTmMgSc at its relaxed geometry, from the Alexandria database.

formation enthalpy at 0 K: 0.03 eV/atom
magnetic moment: 0.000 μB per atom
excess energy over the best structure of this formula in the dataset: 30 meV per atom
space-group type: F-43m (216)

Unit cell a=5.3992 b=5.3992 c=5.3992 alpha=60.00 beta=60.00 gamma=60.00
Fractional positions:
1 Sc 0.2500 0.2500 0.2500
2 Tm 0.5000 0.5000 0.5000
3 Mg 0.7500 0.7500 0.7500
4 Pm 0.0000 0.0000 0.0000



| no. | total energy (eV/atom) |
| --- | --- |
| 1 | -6.403 |
| 2 | -4.025 |
| 3 | -6.089 |
| 4 | -4.260 |